# GdHoTm6

GdHoTm6 after structural relaxation (GGA-PBE, OQMD via LeMat-Bulk).

Values from the calculation:
Its formation energy is 0.002 eV per atom. The spin magnetization is 0.04 μB per cell. The space group is P-6m2, No. 187.

```
GdHoTm6
1.0
7.125 0.000 0.000
-3.562 6.170 0.000
0.000 0.000 5.545
Gd Ho Tm
1 1 6
Direct
0.000 0.000 0.000
0.333 0.667 0.500
0.334 0.167 0.500
0.500 0.001 0.000
0.500 0.500 0.000
0.833 0.167 0.500
0.833 0.666 0.500
0.999 0.500 0.000
```